Density functional theory data (PBE) for a relaxed Mg4In4Pb crystal.

a b c (Å): 9.860 9.860 4.621
angles (deg): 90.00 90.00 90.00
Space group I4/mmm (No. 139)
One atom of each set of equivalent atoms:
Mg 0.170 0.170 0.000 [8 per cell]
In 0.000 0.330 0.500 [8 per cell]
Pb 0.000 0.000 0.500 [2 per cell]

Properties
The total energy is -42.86 eV/cell. For the total magnetization, the calculation gives 0.000 μB per formula unit. The density of states at the Fermi level is 9.30 states/eV per cell. Its mass density is 5.6 g/cm³.